# 1
Compound: Nd2Ho15Er2
Source: Alexandria
Functional: PBE-GGA
Structure: relaxed

a b c (Å): 8.6878 8.6878 8.6878
angles (deg): 80.24 80.24 80.24
Sites, in units of the cell vectors:
1 Nd 0.6726 0.6726 0.6726
2 Nd 0.3274 0.3274 0.3274
3 Ho 0.0000 0.5000 0.0000
4 Ho 0.0000 0.0000 0.5000
5 Ho 0.5000 0.0000 0.0000
6 Ho 0.2974 0.0000 0.7026
7 Ho 0.7026 0.2974 0.0000
8 Ho 0.0000 0.7026 0.2974
9 Ho 0.2974 0.7026 0.0000
10 Ho 0.0000 0.2974 0.7026
11 Ho 0.7026 0.0000 0.2974
12 Ho 0.3666 0.8519 0.3666
13 Ho 0.3666 0.3666 0.8519
14 Ho 0.8519 0.3666 0.3666
15 Ho 0.6334 0.1481 0.6334
16 Ho 0.6334 0.6334 0.1481
17 Ho 0.1481 0.6334 0.6334
18 Er 0.9027 0.9027 0.9027
19 Er 0.0973 0.0973 0.0973

Results
energy relative to the elements: 27 kJ per mole of atoms
Fermi-level density of states: 37.29 states/eV/f.u.
DFT total energy: -4.32 eV per atom
crystal system: trigonal

# 2
Compound: Nd8Ho2Er
Source: Alexandria
Functional: PBE-GGA
Structure: relaxed

a b c (Å): 6.7278 10.3596 10.3596
angles (deg): 38.43 59.82 59.82
Sites, in units of the cell vectors:
1 Nd 0.2310 0.3481 0.8248
2 Nd 0.7690 0.1752 0.6519
3 Nd 0.1682 0.7555 0.7555
4 Nd 0.8318 0.2445 0.2445
5 Nd 0.2310 0.8248 0.3481
6 Nd 0.7690 0.6519 0.1752
7 Nd 0.7258 0.5948 0.5948
8 Nd 0.2742 0.4052 0.4052
9 Ho 0.5833 0.8046 0.8046
10 Ho 0.4167 0.1954 0.1954
11 Er 0.0000 0.0000 0.0000

Results
polymorph energy (0 for the lowest one): 0.21 kcal/mol of atoms
energy relative to the elements: 16 kJ per mole of atoms
Fermi-level density of states: 17.93 states/eV/f.u.
DFT total energy: -4.55 eV per atom
crystal system: monoclinic

# 3
Compound: Nd6HoEr2
Source: Alexandria
Functional: PBE-GGA
Structure: relaxed

a b c (Å): 8.2743 8.2743 10.4870
angles (deg): 90.00 90.00 90.00
Sites, in units of the cell vectors:
1 Nd 0.2608 0.2608 0.3334
2 Nd 0.7392 0.7392 0.3334
3 Nd 0.2392 0.7608 0.8334
4 Nd 0.7608 0.2392 0.8334
5 Nd 0.2392 0.7608 0.1666
6 Nd 0.7608 0.2392 0.1666
7 Nd 0.2608 0.2608 0.6666
8 Nd 0.7392 0.7392 0.6666
9 Nd 0.2610 0.2610 0.0000
10 Nd 0.7390 0.7390 0.0000
11 Nd 0.2390 0.7610 0.5000
12 Nd 0.7610 0.2390 0.5000
13 Ho 0.0000 0.0000 0.0000
14 Ho 0.5000 0.5000 0.5000
15 Er 0.0000 0.0000 0.3337
16 Er 0.5000 0.5000 0.8337
17 Er 0.5000 0.5000 0.1663
18 Er 0.0000 0.0000 0.6663

Results
polymorph energy (0 for the lowest one): 11.20 kcal/mol of atoms
energy relative to the elements: 59 kJ per mole of atoms
Fermi-level density of states: 15.29 states/eV/f.u.
DFT total energy: -4.09 eV per atom
crystal system: tetragonal

# 4
Compound: Nd2Ho6Er3
Source: Alexandria
Functional: PBE-GGA
Structure: relaxed

a b c (Å): 6.0783 6.0851 11.6631
angles (deg): 84.97 79.89 60.04
Sites, in units of the cell vectors:
1 Nd 0.1666 0.6668 0.5000
2 Nd 0.8334 0.3332 0.5000
3 Ho 0.4156 0.6664 0.7541
4 Ho 0.7492 0.0000 0.7539
5 Ho 0.0820 0.3336 0.7541
6 Ho 0.2508 0.0000 0.2461
7 Ho 0.5844 0.3336 0.2459
8 Ho 0.9180 0.6664 0.2459
9 Er 0.0000 0.0000 0.0000
10 Er 0.3347 0.3306 0.0000
11 Er 0.6653 0.6694 0.0000

Results
polymorph energy (0 for the lowest one): 0.00 kcal/mol of atoms
energy relative to the elements: 18 kJ per mole of atoms
Fermi-level density of states: 18.06 states/eV/f.u.
DFT total energy: -4.42 eV per atom
crystal system: monoclinic

# 5
Compound: NdHo6Er6
Source: Alexandria
Functional: PBE-GGA
Structure: relaxed

a b c (Å): 6.5883 6.5884 11.3776
angles (deg): 90.00 90.00 120.00
Sites, in units of the cell vectors:
1 Nd 0.0000 0.0000 0.0000
2 Ho 0.0000 0.0000 0.6505
3 Ho 0.0000 0.0000 0.3495
4 Ho 0.3333 0.6667 0.0000
5 Ho 0.6667 0.3333 0.0000
6 Ho 0.3334 0.6666 0.5000
7 Ho 0.6666 0.3334 0.5000
8 Er 0.0000 0.5000 0.7558
9 Er 0.5000 0.0000 0.7558
10 Er 0.5000 0.5000 0.7558
11 Er 0.5000 0.0000 0.2442
12 Er 0.0000 0.5000 0.2442
13 Er 0.5000 0.5000 0.2442

Results
energy relative to the elements: 27 kJ per mole of atoms
Fermi-level density of states: 26.49 states/eV/f.u.
DFT total energy: -4.31 eV per atom
crystal system: hexagonal

# 6
Compound: NdHo6Er4
Source: Alexandria
Functional: PBE-GGA
Structure: relaxed

a b c (Å): 5.6458 5.5738 25.5551
angles (deg): 90.00 90.00 120.43
Sites, in units of the cell vectors:
1 Nd 0.8194 0.6389 0.2500
2 Nd 0.1806 0.3611 0.7500
3 Ho 0.5000 0.0000 0.0000
4 Ho 0.5000 0.0000 0.5000
5 Ho 0.1504 0.3008 0.3196
6 Ho 0.8496 0.6992 0.6804
7 Ho 0.8496 0.6992 0.8196
8 Ho 0.1504 0.3008 0.1804
9 Ho 0.8177 0.6354 0.3985
10 Ho 0.1823 0.3646 0.6015
11 Ho 0.1823 0.3646 0.8985
12 Ho 0.8177 0.6354 0.1015
13 Ho 0.4853 0.9706 0.2500
14 Ho 0.5147 0.0294 0.7500
15 Er 0.8394 0.6787 0.5417
16 Er 0.4808 0.9617 0.1212
17 Er 0.1606 0.3213 0.4583
18 Er 0.5192 0.0383 0.8788
19 Er 0.8394 0.6787 0.9583
20 Er 0.1606 0.3213 0.0417
21 Er 0.5192 0.0383 0.6212
22 Er 0.4808 0.9617 0.3788

Results
polymorph energy (0 for the lowest one): 0.00 kcal/mol of atoms
energy relative to the elements: 12 kJ per mole of atoms
Fermi-level density of states: 19.44 states/eV/f.u.
DFT total energy: -4.47 eV per atom
crystal system: orthorhombic

# 7
Compound: Nd2Ho2Er3
Source: Alexandria
Functional: PBE-GGA
Structure: relaxed

a b c (Å): 3.5003 8.5165 8.9310
angles (deg): 118.54 101.30 90.00
Sites, in units of the cell vectors:
1 Nd 0.5673 0.9130 0.1346
2 Nd 0.4327 0.0870 0.8654
3 Ho 0.8494 0.6648 0.6988
4 Ho 0.1506 0.3352 0.3012
5 Er 0.0000 0.5000 0.0000
6 Er 0.2115 0.7993 0.4229
7 Er 0.7885 0.2007 0.5771

Results
polymorph energy (0 for the lowest one): 0.00 kcal/mol of atoms
energy relative to the elements: 12 kJ per mole of atoms
Fermi-level density of states: 10.73 states/eV/f.u.
DFT total energy: -4.50 eV per atom
crystal system: monoclinic

# 8
Compound: Nd2HoEr2
Source: Alexandria
Functional: PBE-GGA
Structure: relaxed

a b c (Å): 3.5964 3.5923 16.2956
angles (deg): 63.92 83.66 59.96
Sites, in units of the cell vectors:
1 Nd 0.2385 0.4166 0.1065
2 Nd 0.7615 0.5834 0.8935
3 Ho 0.5000 0.5000 0.5000
4 Er 0.2952 0.7159 0.6938
5 Er 0.7048 0.2841 0.3062

Results
polymorph energy (0 for the lowest one): 0.00 kcal/mol of atoms
energy relative to the elements: 1 kJ per mole of atoms
Fermi-level density of states: 6.39 states/eV/f.u.
DFT total energy: -4.64 eV per atom
crystal system: monoclinic

# 9
Compound: Nd3Ho8Er2
Source: Alexandria
Functional: PBE-GGA
Structure: relaxed

a b c (Å): 5.6293 7.7089 10.6979
angles (deg): 111.12 90.02 90.00
Sites, in units of the cell vectors:
1 Nd 0.5000 0.0000 0.0000
2 Nd 0.0000 0.2926 0.0000
3 Nd 0.0000 0.7074 0.0000
4 Ho 0.0005 0.6725 0.3449
5 Ho 0.9995 0.3275 0.6551
6 Ho 0.9997 0.1356 0.2713
7 Ho 0.0003 0.8644 0.7287
8 Ho 0.4999 0.5989 0.7805
9 Ho 0.4999 0.1816 0.7805
10 Ho 0.5001 0.8184 0.2195
11 Ho 0.5001 0.4011 0.2195
12 Er 0.4993 0.2411 0.4822
13 Er 0.5007 0.7589 0.5178

Results
polymorph energy (0 for the lowest one): 5.18 kcal/mol of atoms
energy relative to the elements: 24 kJ per mole of atoms
Fermi-level density of states: 21.33 states/eV/f.u.
DFT total energy: -4.37 eV per atom
crystal system: monoclinic

# 10
Compound: Nd3Ho3Er5
Source: Alexandria
Functional: PBE-GGA
Structure: relaxed

a b c (Å): 5.4189 9.6280 9.6280
angles (deg): 120.00 90.00 90.00
Sites, in units of the cell vectors:
1 Nd 0.5000 0.6331 0.6331
2 Nd 0.5000 0.0000 0.3669
3 Nd 0.5000 0.3669 0.0000
4 Ho 0.0000 0.4521 0.4521
5 Ho 0.0000 0.5479 0.0000
6 Ho 0.0000 0.0000 0.5479
7 Er 0.5000 0.3333 0.6667
8 Er 0.5000 0.6667 0.3333
9 Er 0.5000 0.2646 0.2646
10 Er 0.5000 0.0000 0.7354
11 Er 0.5000 0.7354 0.0000

Results
energy relative to the elements: 79 kJ per mole of atoms
Fermi-level density of states: 16.12 states/eV/f.u.
DFT total energy: -3.80 eV per atom
crystal system: hexagonal

# 11
Compound: NdHo6Er12
Source: Alexandria
Functional: PBE-GGA
Structure: relaxed

a b c (Å): 9.2290 9.2290 9.2290
angles (deg): 107.74 107.74 107.74
Sites, in units of the cell vectors:
1 Nd 0.0000 0.0000 0.0000
2 Ho 0.6867 0.2654 0.6867
3 Ho 0.6867 0.6867 0.2654
4 Ho 0.2654 0.6867 0.6867
5 Ho 0.3133 0.3133 0.7346
6 Ho 0.3133 0.7346 0.3133
7 Ho 0.7346 0.3133 0.3133
8 Er 0.8893 0.1107 0.5000
9 Er 0.3646 0.1454 0.3646
10 Er 0.3646 0.3646 0.1454
11 Er 0.8546 0.6354 0.6354
12 Er 0.6354 0.6354 0.8546
13 Er 0.6354 0.8546 0.6354
14 Er 0.5000 0.8893 0.1107
15 Er 0.1107 0.5000 0.8893
16 Er 0.1107 0.8893 0.5000
17 Er 0.5000 0.1107 0.8893
18 Er 0.8893 0.5000 0.1107
19 Er 0.1454 0.3646 0.3646

Results
polymorph energy (0 for the lowest one): 6.50 kcal/mol of atoms
energy relative to the elements: 43 kJ per mole of atoms
Fermi-level density of states: 24.87 states/eV/f.u.
DFT total energy: -4.14 eV per atom
crystal system: trigonal

# 12
Compound: NdHo12Er7
Source: Alexandria
Functional: PBE-GGA
Structure: relaxed

a b c (Å): 9.7262 9.7262 9.7262
angles (deg): 109.47 109.47 109.47
Sites, in units of the cell vectors:
1 Nd 0.0000 0.0000 0.0000
2 Ho 0.4867 0.7432 0.7434
3 Ho 0.9998 0.7432 0.2566
4 Ho 0.5133 0.2568 0.2566
5 Ho 0.0002 0.2568 0.7434
6 Ho 0.7434 0.0002 0.2568
7 Ho 0.7434 0.4867 0.7432
8 Ho 0.2566 0.9998 0.7432
9 Ho 0.2566 0.5133 0.2568
10 Ho 0.7432 0.7434 0.4867
11 Ho 0.2568 0.2566 0.5133
12 Ho 0.7432 0.2566 0.9998
13 Ho 0.2568 0.7434 0.0002
14 Er 0.5000 0.5000 0.0000
15 Er 0.0000 0.5000 0.5000
16 Er 0.5000 0.0000 0.5000
17 Er 0.5000 0.5000 0.5000
18 Er 0.0000 0.0000 0.5000
19 Er 0.5000 0.0000 0.0000
20 Er 0.0000 0.5000 0.0000

Results
polymorph energy (0 for the lowest one): 9.55 kcal/mol of atoms
energy relative to the elements: 70 kJ per mole of atoms
Fermi-level density of states: 24.78 states/eV/f.u.
DFT total energy: -3.86 eV per atom
crystal system: cubic

# 13
Compound: Nd3Ho5Er4
Source: Alexandria
Functional: PBE-GGA
Structure: relaxed

a b c (Å): 7.1113 11.2419 12.8162
angles (deg): 151.28 56.40 129.24
Sites, in units of the cell vectors:
1 Nd 0.5854 0.1683 0.3339
2 Nd 0.0000 0.0000 0.5000
3 Nd 0.4146 0.8317 0.6661
4 Ho 0.3330 0.6681 0.8351
5 Ho 0.5000 0.0000 0.5000
6 Ho 0.7484 0.5011 0.0011
7 Ho 0.2516 0.4989 0.9989
8 Ho 0.6670 0.3319 0.1649
9 Er 0.9180 0.8354 0.6687
10 Er 0.8329 0.6666 0.8338
11 Er 0.1671 0.3334 0.1662
12 Er 0.0820 0.1646 0.3313

Results
polymorph energy (0 for the lowest one): 0.00 kcal/mol of atoms
energy relative to the elements: 2 kJ per mole of atoms
Fermi-level density of states: 15.53 states/eV/f.u.
DFT total energy: -4.60 eV per atom
crystal system: triclinic

# 14
Compound: Nd4Ho15Er
Source: Alexandria
Functional: PBE-GGA
Structure: relaxed

a b c (Å): 5.0304 5.0304 25.0727
angles (deg): 90.00 90.00 90.00
Sites, in units of the cell vectors:
1 Nd 0.0000 0.0000 0.1990
2 Nd 0.0000 0.0000 0.3994
3 Nd 0.0000 0.0000 0.6006
4 Nd 0.0000 0.0000 0.8010
5 Ho 0.5000 0.5000 0.0000
6 Ho 0.5000 0.5000 0.1984
7 Ho 0.5000 0.5000 0.3996
8 Ho 0.5000 0.5000 0.6004
9 Ho 0.5000 0.5000 0.8016
10 Ho 0.5000 0.0000 0.0981
11 Ho 0.5000 0.0000 0.2989
12 Ho 0.5000 0.0000 0.5000
13 Ho 0.5000 0.0000 0.7011
14 Ho 0.5000 0.0000 0.9019
15 Ho 0.0000 0.5000 0.0981
16 Ho 0.0000 0.5000 0.2989
17 Ho 0.0000 0.5000 0.5000
18 Ho 0.0000 0.5000 0.7011
19 Ho 0.0000 0.5000 0.9019
20 Er 0.0000 0.0000 0.0000

Results
energy relative to the elements: 2 kJ per mole of atoms
Fermi-level density of states: 26.67 states/eV/f.u.
DFT total energy: -4.59 eV per atom
crystal system: tetragonal

# 15
Compound: Nd2Ho3Er5
Source: Alexandria
Functional: PBE-GGA
Structure: relaxed

a b c (Å): 9.3596 9.3927 11.0822
angles (deg): 125.32 125.26 68.55
Sites, in units of the cell vectors:
1 Nd 0.7769 0.0142 0.7447
2 Nd 0.2231 0.9858 0.2553
3 Nd 0.4678 0.7305 0.7447
4 Nd 0.5322 0.2695 0.2553
5 Ho 0.2279 0.9779 0.9558
6 Ho 0.7721 0.0221 0.0442
7 Ho 0.7287 0.4649 0.2436
8 Ho 0.2713 0.5351 0.7564
9 Ho 0.0149 0.7787 0.2436
10 Ho 0.9851 0.2213 0.7564
11 Er 0.2769 0.5269 0.0539
12 Er 0.7231 0.4731 0.9461
13 Er 0.0188 0.7688 0.5377
14 Er 0.5241 0.2741 0.5481
15 Er 0.9812 0.2312 0.4623
16 Er 0.4759 0.7259 0.4519
17 Er 0.8692 0.6129 0.7603
18 Er 0.1308 0.3871 0.2397
19 Er 0.3911 0.1474 0.7603
20 Er 0.6089 0.8526 0.2397

Results
polymorph energy (0 for the lowest one): 0.00 kcal/mol of atoms
energy relative to the elements: 19 kJ per mole of atoms
Fermi-level density of states: 17.47 states/eV/f.u.
DFT total energy: -4.41 eV per atom
crystal system: monoclinic

# 16
Compound: NdHo15Er4
Source: Alexandria
Functional: PBE-GGA
Structure: relaxed

a b c (Å): 4.9883 4.9883 24.9441
angles (deg): 90.00 90.00 90.00
Sites, in units of the cell vectors:
1 Nd 0.0000 0.0000 0.0000
2 Ho 0.5000 0.5000 0.0000
3 Ho 0.5000 0.5000 0.2016
4 Ho 0.5000 0.5000 0.4003
5 Ho 0.5000 0.5000 0.5997
6 Ho 0.5000 0.5000 0.7984
7 Ho 0.5000 0.0000 0.1018
8 Ho 0.5000 0.0000 0.3008
9 Ho 0.5000 0.0000 0.5000
10 Ho 0.5000 0.0000 0.6992
11 Ho 0.5000 0.0000 0.8982
12 Ho 0.0000 0.5000 0.1018
13 Ho 0.0000 0.5000 0.3008
14 Ho 0.0000 0.5000 0.5000
15 Ho 0.0000 0.5000 0.6992
16 Ho 0.0000 0.5000 0.8982
17 Er 0.0000 0.0000 0.2011
18 Er 0.0000 0.0000 0.4004
19 Er 0.0000 0.0000 0.5996
20 Er 0.0000 0.0000 0.7989

Results
energy relative to the elements: 2 kJ per mole of atoms
Fermi-level density of states: 26.06 states/eV/f.u.
DFT total energy: -4.56 eV per atom
crystal system: tetragonal

# 17
Compound: Nd3Ho5Er
Source: Alexandria
Functional: PBE-GGA
Structure: relaxed

a b c (Å): 9.5253 9.5253 11.6511
angles (deg): 52.47 52.47 72.94
Sites, in units of the cell vectors:
1 Nd 0.7001 0.7001 0.8086
2 Nd 0.6606 0.6606 0.3633
3 Nd 0.0000 0.0000 0.0000
4 Nd 0.0000 0.0000 0.5000
5 Nd 0.2999 0.2999 0.1914
6 Nd 0.3394 0.3394 0.6367
7 Ho 0.8431 0.3422 0.2479
8 Ho 0.2576 0.7424 0.0000
9 Ho 0.8135 0.8135 0.9650
10 Ho 0.4915 0.4915 0.2260
11 Ho 0.5085 0.5085 0.7740
12 Ho 0.1865 0.1865 0.0350
13 Ho 0.3422 0.8431 0.2479
14 Ho 0.7424 0.2576 0.0000
15 Ho 0.1569 0.6578 0.7521
16 Ho 0.6578 0.1569 0.7521
17 Er 0.1491 0.1491 0.6031
18 Er 0.8509 0.8509 0.3969

Results
polymorph energy (0 for the lowest one): 8.51 kcal/mol of atoms
energy relative to the elements: 51 kJ per mole of atoms
Fermi-level density of states: 12.41 states/eV/f.u.
DFT total energy: -4.11 eV per atom
crystal system: monoclinic

# 18
Compound: Nd4HoEr7
Source: Alexandria
Functional: PBE-GGA
Structure: relaxed

a b c (Å): 6.8287 8.7280 9.0327
angles (deg): 84.63 95.35 47.90
Sites, in units of the cell vectors:
1 Nd 0.5528 0.6395 0.2860
2 Nd 0.4472 0.3605 0.7140
3 Nd 0.7796 0.8353 0.6926
4 Nd 0.2204 0.1647 0.3074
5 Ho 0.0000 0.0000 0.0000
6 Er 0.7360 0.5111 0.9519
7 Er 0.2640 0.4889 0.0481
8 Er 0.9792 0.3188 0.6442
9 Er 0.0208 0.6812 0.3558
10 Er 0.2917 0.8136 0.6191
11 Er 0.5000 0.0000 0.0000
12 Er 0.7083 0.1864 0.3809

Results
polymorph energy (0 for the lowest one): 0.00 kcal/mol of atoms
energy relative to the elements: 9 kJ per mole of atoms
Fermi-level density of states: 18.81 states/eV/f.u.
DFT total energy: -4.54 eV per atom
crystal system: triclinic